[1]
SrLa2Tc | PBE | optimized geometry

Summary:
**Relative energy among the computed polymorphs**: 219.0 meV per atom
**DFT formation energy**: 0.3217 eV per atom

The structure in POSCAR format:
```
SrLa2Tc
1.0
3.672 0.000 0.000
0.000 3.672 0.000
0.000 0.000 9.147
La Tc Sr
2 1 1
direct
0.000 0.000 0.946 La
0.500 0.500 0.192 La
0.500 0.500 0.796 Tc
0.000 0.000 0.566 Sr
```

---

[2]
V2FeGeC | PBE | optimized geometry

Summary:
**DFT formation energy**: -0.1687 eV per atom

The structure in POSCAR format:
```
V2FeGeC
1.0
-1.967 0.154 3.450
1.842 -3.312 1.198
2.787 2.091 1.496
V Fe C Ge
2 1 1 1
direct
0.000 0.500 0.000 V
0.500 0.000 0.000 V
0.000 0.000 0.500 Fe
0.000 0.000 0.000 C
0.500 0.500 0.500 Ge
```

---

[3]
Tb6Sb2PbSe3 | PBE | optimized geometry

The structure in POSCAR format:
```
Tb6Sb2PbSe3
1.0
4.279 0.000 0.000
0.000 8.517 0.335
-2.140 -2.427 8.969
Pb Tb Se Sb
1 6 3 2
direct
0.500 0.000 0.000 Pb
0.997 0.256 0.995 Tb
0.669 0.077 0.338 Tb
0.335 0.411 0.670 Tb
0.003 0.744 0.005 Tb
0.665 0.589 0.330 Tb
0.331 0.923 0.662 Tb
0.500 0.500 0.000 Se
0.833 0.167 0.665 Se
0.167 0.833 0.335 Se
0.833 0.667 0.667 Sb
0.167 0.333 0.333 Sb
```

---

[4]
TmCoMo | PBE | optimized geometry

Summary:
**DFT formation energy**: 0.0220 eV per atom

The structure in POSCAR format:
```
TmCoMo
1.0
-1.905 -1.808 2.652
2.322 -2.906 -0.313
4.599 3.093 5.412
Mo Co Tm
2 2 2
direct
0.000 0.000 0.500 Mo
0.500 0.500 0.500 Mo
0.000 0.500 0.261 Co
0.500 0.000 0.739 Co
0.500 0.000 0.152 Tm
0.000 0.500 0.848 Tm
```

---

[5]
Sr2CdSn4Pt3 | PBE | optimized geometry

Summary:
**DFT formation energy**: -0.6846 eV per atom

The structure in POSCAR format:
```
Sr2CdSn4Pt3
1.0
-1.333 0.165 4.478
-4.208 -1.654 -1.192
3.694 -10.465 1.484
Sr Cd Pt Sn
2 1 3 4
direct
0.500 0.000 0.250 Sr
0.000 0.500 0.750 Sr
0.500 0.500 0.500 Cd
0.000 0.000 0.500 Pt
0.000 0.500 0.123 Pt
0.500 0.000 0.877 Pt
0.500 0.000 0.640 Sn
0.000 0.000 0.000 Sn
0.000 0.500 0.360 Sn
0.500 0.500 0.000 Sn
```

---

[6]
MgReO3 | PBE | optimized geometry

The structure in POSCAR format:
```
MgReO3
1.0
3.893 0.000 0.000
0.000 3.893 0.000
0.000 0.000 3.893
Re Mg O
1 1 3
direct
0.000 0.000 0.000 Re
0.500 0.500 0.500 Mg
0.500 0.000 0.000 O
0.000 0.000 0.500 O
0.000 0.500 0.000 O
```

---

[7]
Li2HfZn | PBE | optimized geometry

Summary:
**DFT formation energy**: 0.1858 eV per atom

The structure in POSCAR format:
```
Li2HfZn
1.0
-2.801 -0.632 0.315
-0.854 -1.758 2.127
-2.356 7.386 7.123
Hf Zn Li
1 1 2
direct
0.000 0.000 0.000 Hf
0.500 0.500 0.500 Zn
0.907 0.907 0.278 Li
0.093 0.093 0.722 Li
```

---

[8]
Pm3InAu | PBE | optimized geometry

Summary:
**DFT formation energy**: -0.4405 eV per atom

The structure in POSCAR format:
```
Pm3InAu
1.0
7.544 0.000 0.000
0.000 7.544 0.000
0.000 0.000 7.544
Pm In Au
9 3 3
direct
0.236 0.764 0.764 Pm
0.764 0.764 0.236 Pm
0.236 0.236 0.236 Pm
0.764 0.764 0.764 Pm
0.236 0.764 0.236 Pm
0.500 0.500 0.500 Pm
0.764 0.236 0.764 Pm
0.236 0.236 0.764 Pm
0.764 0.236 0.236 Pm
0.500 0.000 0.500 In
0.500 0.500 0.000 In
0.000 0.500 0.500 In
0.000 0.000 0.500 Au
0.500 0.000 0.000 Au
0.000 0.500 0.000 Au
```

---

no.,calculated total energy (eV per formula unit),D(E_F) (states/eV/atom)
1,-20.62,1.484
2,-41.38,1.040
3,-66.44,0.373
4,-22.34,1.240
5,-45.26,0.412
6,-35.46,0.507
7,-14.31,0.751
8,-22.47,1.320